## Th3SnC2 (PBE)

Data for a relaxed structure of Th3SnC2.

The formation energy from the elements is -0.038 eV per atom. Its magnetic moment is 0.0 Bohr magnetons per cell. Its crystal system is monoclinic.

The space group is P2_1/m (No. 11) and the conventional cell measures 6.619, 3.817 and 12.354 Å, with angles of 90.00, 94.51 and 90.00 degrees. The inequivalent atoms are Th at (0.086, 0.250, 0.319), Th at (0.189, 0.250, 0.925), Th at (0.405, 0.250, 0.613), Sn at (0.313, 0.750, 0.143), C at (0.056, 0.250, 0.111) and C at (0.396, 0.250, 0.417).


## TiV3As (PBE)

Data for a relaxed structure of TiV3As.

The formation energy from the elements is 0.612 eV per atom. The energy relative to the lowest polymorph listed for this composition comes out at 890.2 meV per atom. Its magnetic moment is 1.2 Bohr magnetons per cell. Its crystal system is cubic.

The space group is Pm-3m (No. 221) and the conventional cell measures 4.478, 4.478 and 4.478 Å, with angles of 90.00, 90.00 and 90.00 degrees. The inequivalent atoms are Ti at (0.000, 0.000, 0.000), V at (0.000, 0.500, 0.500) and As at (0.500, 0.500, 0.500).